{"formula": "Nb4Mo2Os", "functional": "PBE", "state": "optimized geometry", "e_above_lowest_polymorph_ev_per_fu": 0.078, "mass_density_g_cm3": 9.756, "delta_e_f_ev_per_atom": 0.097, "lattice_angstrom": [[6.323, 0.000, 0.000], [0.000, 6.323, 0.000], [0.000, 0.000, 6.417]], "species": ["Nb", "Nb", "Nb", "Nb", "Nb", "Nb", "Nb", "Nb", "Mo", "Mo", "Mo", "Mo", "Os", "Os"], "fractional_positions": [[0.250, 0.250, 0.250], [0.250, 0.250, 0.750], [0.250, 0.750, 0.250], [0.250, 0.750, 0.750], [0.750, 0.250, 0.250], [0.750, 0.250, 0.750], [0.750, 0.750, 0.250], [0.750, 0.750, 0.750], [0.000, 0.500, 0.000], [0.000, 0.500, 0.500], [0.500, 0.000, 0.000], [0.500, 0.000, 0.500], [0.000, 0.000, 0.000], [0.500, 0.500, 0.500]]}


{"formula": "AcS", "functional": "PBE", "state": "optimized geometry", "e_above_lowest_polymorph_ev_per_fu": 0.642, "mass_density_g_cm3": 8.421, "raw_formation_energy_mev_per_atom": -1689, "lattice_angstrom": [[3.711, 0.000, 0.000], [0.000, 3.711, 0.000], [0.000, 0.000, 3.711]], "species": ["Ac", "S"], "fractional_positions": [[0.000, 0.000, 0.000], [0.500, 0.500, 0.500]]}


{"formula": "LaW4S8", "functional": "PBE", "state": "optimized geometry", "mass_density_g_cm3": 6.950, "raw_formation_energy_mev_per_atom": -665, "lattice_angstrom": [[3.286, 1.897, 7.223], [-3.286, 1.897, 7.223], [0.000, -3.794, 7.223]], "species": ["La", "W", "W", "W", "W", "S", "S", "S", "S", "S", "S", "S", "S"], "fractional_positions": [[0.000, 0.000, 0.000], [0.000, 0.000, 0.500], [0.000, 0.500, 0.000], [0.500, 0.000, 0.000], [0.500, 0.500, 0.500], [0.238, 0.238, 0.238], [0.247, 0.735, 0.735], [0.265, 0.265, 0.753], [0.265, 0.753, 0.265], [0.735, 0.247, 0.735], [0.735, 0.735, 0.247], [0.753, 0.265, 0.265], [0.762, 0.762, 0.762]]}


{"formula": "Pb2C2N3", "functional": "PBE", "state": "optimized geometry", "mass_density_g_cm3": 6.867, "raw_formation_energy_mev_per_atom": 568, "lattice_angstrom": [[13.060, 0.000, 0.000], [0.000, 3.568, 0.000], [-1.244, 0.000, 4.987]], "species": ["Pb", "Pb", "Pb", "Pb", "C", "C", "C", "C", "N", "N", "N", "N", "N", "N"], "fractional_positions": [[0.143, 0.000, 0.153], [0.357, 0.500, 0.847], [0.643, 0.500, 0.153], [0.857, 0.000, 0.847], [0.101, 0.500, 0.577], [0.399, 0.000, 0.423], [0.601, 0.000, 0.577], [0.899, 0.500, 0.423], [0.000, 0.500, 0.500], [0.172, 0.500, 0.801], [0.328, 0.000, 0.199], [0.500, 0.000, 0.500], [0.672, 0.000, 0.801], [0.828, 0.500, 0.199]]}


{"formula": "Ba2NdAlS5", "functional": "PBE", "state": "optimized geometry", "mass_density_g_cm3": 4.030, "raw_formation_energy_mev_per_atom": -1839, "lattice_angstrom": [[2.061, -9.159, 0.000], [2.061, 9.159, 0.000], [0.000, 0.000, 13.234]], "species": ["Ba", "Ba", "Ba", "Ba", "Nd", "Nd", "Al", "Al", "S", "S", "S", "S", "S", "S", "S", "S", "S", "S"], "fractional_positions": [[0.117, 0.883, 0.500], [0.127, 0.873, 0.149], [0.873, 0.127, 0.649], [0.883, 0.117, 0.000], [0.201, 0.799, 0.847], [0.799, 0.201, 0.347], [0.444, 0.556, 0.236], [0.556, 0.444, 0.736], [0.037, 0.963, 0.825], [0.297, 0.703, 0.489], [0.323, 0.677, 0.195], [0.349, 0.651, 0.826], [0.498, 0.502, 0.590], [0.502, 0.498, 0.090], [0.651, 0.349, 0.326], [0.677, 0.323, 0.695], [0.703, 0.297, 0.989], [0.963, 0.037, 0.325]]}


{"formula": "Hf2CuPb", "functional": "PBE", "state": "optimized geometry", "mass_density_g_cm3": 12.076, "delta_e_f_ev_per_atom": 0.255, "lattice_angstrom": [[7.622, 0.000, 0.000], [0.000, 7.622, 0.000], [0.000, 0.000, 5.943]], "species": ["Hf", "Hf", "Hf", "Hf", "Hf", "Hf", "Hf", "Hf", "Cu", "Cu", "Cu", "Cu", "Pb", "Pb", "Pb", "Pb"], "fractional_positions": [[0.213, 0.750, 0.125], [0.250, 0.213, 0.875], [0.250, 0.287, 0.375], [0.287, 0.750, 0.625], [0.713, 0.250, 0.625], [0.750, 0.713, 0.375], [0.750, 0.787, 0.875], [0.787, 0.250, 0.125], [0.000, 0.000, 0.000], [0.000, 0.500, 0.250], [0.500, 0.000, 0.750], [0.500, 0.500, 0.500], [0.000, 0.000, 0.500], [0.000, 0.500, 0.750], [0.500, 0.000, 0.250], [0.500, 0.500, 0.000]]}